No. 1
VASP calculation (PBE) on an optimized crystal structure of AcSmLuTl.

- Crystal system: cubic

```
data_AcSmLuTl
_chemical_formula_sum 'Ac4 Sm4 Lu4 Tl4'
_cell_length_a 7.957
_cell_length_b 7.957
_cell_length_c 7.957
_cell_angle_alpha 90.00
_cell_angle_beta 90.00
_cell_angle_gamma 90.00
_symmetry_space_group_name_H-M 'F -4 3 m'
_symmetry_Int_Tables_number 216
_symmetry_space_group_name_Hall 'F -4 2 3'
loop_
_atom_site_label
_atom_site_type_symbol
_atom_site_fract_x
_atom_site_fract_y
_atom_site_fract_z
_atom_site_occupancy
Ac1 Ac 0.000 0.000 0.000 1
Sm1 Sm 0.250 0.250 0.250 1
Lu1 Lu 0.250 0.250 0.750 1
Tl1 Tl 0.000 0.000 0.500 1
```

=====

No. 2
VASP calculation (PBE) on an optimized crystal structure of Ba2Na2Sn3.

- Crystal system: monoclinic

```
data_Ba2Na2Sn3
_chemical_formula_sum 'Ba4 Na4 Sn6'
_cell_length_a 11.831
_cell_length_b 5.417
_cell_length_c 7.804
_cell_angle_alpha 90.00
_cell_angle_beta 106.51
_cell_angle_gamma 90.00
_symmetry_space_group_name_H-M 'C 1 2/m 1'
_symmetry_Int_Tables_number 12
_symmetry_space_group_name_Hall '-C 2y'
loop_
_atom_site_label
_atom_site_type_symbol
_atom_site_fract_x
_atom_site_fract_y
_atom_site_fract_z
_atom_site_occupancy
Ba1 Ba 0.155 0.000 0.239 1
Na1 Na 0.135 0.000 0.721 1
Sn1 Sn 0.000 0.500 0.500 1
Sn2 Sn 0.095 0.500 0.923 1
```

=====

| no. | energy relative to the elements (eV/f.u.) | Fermi-level density of states (states/eV per cell) |
| --- | --- | --- |
| 1 | 0.269 | 32.43 |
| 2 | -2.767 | 4.96 |